No. 1
GGA-PBE LuThMgPb, relaxed; space group = F-43m; D(E_F) = 4.22 states/eV per cell; E_tot = -4.40 eV/atom
1.0
0.0000 3.8303 3.8303
3.8303 0.0000 3.8303
3.8303 3.8303 0.0000
Lu Th Mg Pb
1 1 1 1
direct
0.0000 0.0000 0.0000
0.5000 0.5000 0.5000
0.2500 0.2500 0.2500
0.7500 0.7500 0.7500

No. 2
GGA-PBE LuMgTlPb, relaxed; space group = F-43m; D(E_F) = 2.88 states/eV per cell; E_tot = -3.18 eV/atom
1.0
0.0000 3.7470 3.7470
3.7470 0.0000 3.7470
3.7470 3.7470 0.0000
Lu Mg Tl Pb
1 1 1 1
direct
0.0000 0.0000 0.0000
0.5000 0.5000 0.5000
0.7500 0.7500 0.7500
0.2500 0.2500 0.2500